Entry 1:
Ba2Bi2Au15 | GGA-PBE | relaxed

Summary:
Space-group type: No. 166
Energy of formation from the pure elements (eV per atom): -0.261

```
Ba2Bi2Au15
1.0
-4.230 -4.571 -4.236
5.723 -4.355 -2.239
-0.961 -5.208 5.356
Au Ba Bi
15 2 2
Cartesian
2.414 -7.036 1.334 Au
0.818 -6.725 -3.348 Au
-2.444 -7.141 0.359 Au
3.589 -4.627 0.185 Au
2.546 -4.424 -2.877 Au
-0.481 -2.604 2.678 Au
-3.186 -4.775 -1.174 Au
2.977 -6.993 -1.479 Au
-2.115 -2.286 -2.118 Au
-0.286 -7.409 2.229 Au
-2.005 -5.005 2.293 Au
2.862 -2.177 -1.120 Au
1.173 -4.936 2.931 Au
-1.881 -7.098 -2.453 Au
-1.052 -4.502 -3.599 Au
0.346 -9.192 -0.728 Ba
0.186 -4.942 -0.391 Ba
0.477 -12.661 -1.003 Bi
0.055 -1.473 -0.117 Bi
```



Entry 2:
Sc6AgHg | GGA-PBE | relaxed

Summary:
Space-group type: No. 148
Energy of formation from the pure elements (eV per atom): -0.107

```
Sc6AgHg
1.0
-0.346 7.564 2.654
-6.004 4.682 -1.979
-3.711 3.074 2.890
Sc Ag Hg
6 1 1
Cartesian
-2.493 5.767 1.516 Sc
-4.361 10.648 2.300 Sc
-8.945 12.583 2.185 Sc
-1.115 2.737 1.380 Sc
-5.700 4.671 1.265 Sc
-7.568 9.553 2.049 Sc
0.000 0.000 0.000 Ag
-5.030 7.660 1.782 Hg
```



Entry 3:
BeAlCu4 | GGA-PBE | relaxed

Summary:
Space-group type: No. 216
Energy of formation from the pure elements (eV per atom): 0.100
Polymorph energy (0 for the lowest one) (meV per atom): 231

```
BeAlCu4
1.0
0.000 3.362 3.362
3.362 0.000 3.362
3.362 3.362 0.000
Cu Al Be
4 1 1
Cartesian
2.520 4.204 2.520 Cu
2.520 2.520 4.204 Cu
4.204 4.204 4.204 Cu
4.204 2.520 2.520 Cu
1.681 1.681 1.681 Al
0.000 0.000 0.000 Be
```



Entry 4:
GaRe3N | GGA-PBE | relaxed

Summary:
Space-group type: No. 221
Polymorph energy (0 for the lowest one) (meV per atom): 0
Raw formation energy (meV per atom): 402

```
GaRe3N
1.0
4.075 0.000 0.000
0.000 4.075 0.000
0.000 0.000 4.075
N Re Ga
1 3 1
Cartesian
0.000 0.000 0.000 N
2.037 0.000 0.000 Re
0.000 0.000 2.037 Re
0.000 2.037 0.000 Re
2.037 2.037 2.037 Ga
```



Entry 5:
PmCd4Hg2 | GGA-PBE | relaxed

Summary:
Space-group type: No. 2
Energy of formation from the pure elements (eV per atom): -0.127
Polymorph energy (0 for the lowest one) (meV per atom): 37

```
PmCd4Hg2
1.0
-1.453 -0.985 4.193
2.619 -1.995 0.453
5.964 9.768 1.900
Pm Hg Cd
1 2 4
Cartesian
0.000 0.000 0.000 Pm
1.604 -0.147 2.995 Hg
5.527 6.936 3.551 Hg
4.845 3.519 2.518 Cd
1.992 2.328 1.242 Cd
5.139 4.461 5.304 Cd
2.286 3.269 4.028 Cd
```



Entry 6:
BeZnPt2 | GGA-PBE | relaxed

Summary:
Space-group type: No. 123
Energy of formation from the pure elements (eV per atom): -0.565
Polymorph energy (0 for the lowest one) (meV per atom): 114

```
BeZnPt2
1.0
4.003 0.000 0.000
0.000 4.004 0.000
0.000 0.000 3.325
Zn Pt Be
1 2 1
Cartesian
2.002 0.000 1.662 Zn
2.002 2.002 0.000 Pt
0.000 0.000 0.000 Pt
0.000 2.002 1.662 Be
```



Entry 7:
LiIn2Ni | GGA-PBE | relaxed

Summary:
Space-group type: No. 216
Energy of formation from the pure elements (eV per atom): 0.006

```
LiIn2Ni
1.0
4.653 0.000 0.000
2.326 4.029 0.000
2.326 1.343 3.799
Ni In Li
1 2 1
Cartesian
6.979 4.029 2.849 Ni
2.326 1.343 0.950 In
0.000 0.000 0.000 In
4.653 2.686 1.900 Li
```



Entry 8:
CrAu4Se | GGA-PBE | relaxed

Summary:
Space-group type: No. 216
Raw formation energy (meV per atom): 263

```
CrAu4Se
1.0
0.000 3.903 3.903
3.903 0.000 3.903
3.903 3.903 0.000
Au Se Cr
4 1 1
Cartesian
4.877 4.877 2.930 Au
2.930 2.930 2.930 Au
2.930 4.877 4.877 Au
4.877 2.930 4.877 Au
0.000 0.000 0.000 Se
5.855 5.855 5.855 Cr
```